This record from Alexandria describes a relaxed KGaNiO3 crystal. The functional is PBE with a Hubbard U.

Values from the calculation:
Space group: Cmcm (63)
E_tot: -60.779 eV for the cell shown

Unit cell a=5.436 b=5.486 c=5.870 alpha=117.86 beta=90.00 gamma=90.00
Fractional coordinates of all 12 atoms:
O: 0.750 0.757 0.513
O: 0.000 0.239 0.000
O: 0.500 0.239 0.000
K: 0.750 0.250 0.500
O: 0.250 0.243 0.487
Ni: 0.750 0.566 0.131
Ga: 0.750 0.932 0.864
Ni: 0.250 0.434 0.869
O: 0.500 0.761 0.000
K: 0.250 0.750 0.500
O: 0.000 0.761 0.000
Ga: 0.250 0.068 0.136